# 1
Computed, not measured: Y2AgSbBr after structural relaxation at the PBE-GGA level of DFT.

Structure (CIF):
```
data_Y2AgSbBr
_chemical_formula_sum 'Y2 Ag1 Sb1 Br1'
_symmetry_space_group_name_H-M 'P 1'
_symmetry_Int_Tables_number 1
_cell_length_a 5.806
_cell_length_b 5.161
_cell_length_c 5.806
_cell_angle_alpha 90.00
_cell_angle_beta 90.00
_cell_angle_gamma 90.00
loop_
_symmetry_equiv_pos_as_xyz
'x,y,z'
loop_
_atom_site_label
_atom_site_type_symbol
_atom_site_fract_x
_atom_site_fract_y
_atom_site_fract_z
Ag1 Ag 0.000 0.500 0.000
Y1 Y 0.500 0.000 0.000
Sb1 Sb 0.000 0.000 0.000
Br1 Br 0.500 0.500 0.500
Y2 Y 0.000 0.000 0.500
```

## Properties
Total energy   -4.3885 eV per atom
Formation energy from raw total energies   -74 meV/atom

# 2
Computed, not measured: BCl4 after structural relaxation at the PBE-GGA level of DFT.

Structure (CIF):
```
data_BCl4
_chemical_formula_sum 'B1 Cl4'
_symmetry_space_group_name_H-M 'P 1'
_symmetry_Int_Tables_number 1
_cell_length_a 4.444
_cell_length_b 4.444
_cell_length_c 4.444
_cell_angle_alpha 90.00
_cell_angle_beta 90.00
_cell_angle_gamma 90.00
loop_
_symmetry_equiv_pos_as_xyz
'x,y,z'
loop_
_atom_site_label
_atom_site_type_symbol
_atom_site_fract_x
_atom_site_fract_y
_atom_site_fract_z
Cl1 Cl 0.500 0.000 0.500
Cl2 Cl 0.500 0.500 0.000
Cl3 Cl 0.000 0.500 0.500
Cl4 Cl 0.000 0.000 0.000
B1 B 0.500 0.500 0.500
```

## Properties
Total energy   -2.2623 eV per atom
Formation energy from raw total energies   550 meV/atom

# 3
Computed, not measured: TmNiSbRh after structural relaxation at the PBE-GGA level of DFT.

Structure (CIF):
```
data_TmNiSbRh
_chemical_formula_sum 'Tm1 Ni1 Sb1 Rh1'
_symmetry_space_group_name_H-M 'P 1'
_symmetry_Int_Tables_number 1
_cell_length_a 4.624
_cell_length_b 4.624
_cell_length_c 4.624
_cell_angle_alpha 60.00
_cell_angle_beta 60.00
_cell_angle_gamma 60.00
loop_
_symmetry_equiv_pos_as_xyz
'x,y,z'
loop_
_atom_site_label
_atom_site_type_symbol
_atom_site_fract_x
_atom_site_fract_y
_atom_site_fract_z
Rh1 Rh 0.250 0.250 0.250
Ni1 Ni 0.750 0.750 0.750
Sb1 Sb 0.000 0.000 0.000
Tm1 Tm 0.500 0.500 0.500
```

## Properties
Total energy   -6.0469 eV per atom
Formation energy from raw total energies   -615 meV/atom

# 4
Computed, not measured: ErPaCu4 after structural relaxation at the PBE-GGA level of DFT.

Structure (CIF):
```
data_ErPaCu4
_chemical_formula_sum 'Er1 Pa1 Cu4'
_symmetry_space_group_name_H-M 'P 1'
_symmetry_Int_Tables_number 1
_cell_length_a 5.204
_cell_length_b 5.204
_cell_length_c 5.204
_cell_angle_alpha 60.00
_cell_angle_beta 60.00
_cell_angle_gamma 60.00
loop_
_symmetry_equiv_pos_as_xyz
'x,y,z'
loop_
_atom_site_label
_atom_site_type_symbol
_atom_site_fract_x
_atom_site_fract_y
_atom_site_fract_z
Cu1 Cu 0.125 0.625 0.625
Pa1 Pa 0.250 0.250 0.250
Cu2 Cu 0.625 0.625 0.625
Cu3 Cu 0.625 0.125 0.625
Cu4 Cu 0.625 0.625 0.125
Er1 Er 0.000 0.000 0.000
```

## Properties
Total energy   -5.1142 eV per atom
E_form   -0.040 eV/atom